Crystalline LuZrAlNi at its relaxed geometry. Source: Alexandria, functional PBE.

Energy relative to the elements (eV/atom): -0.2784

Cell lengths 6.7524, 6.7524, 6.7524 Å; angles 90.00, 90.00, 90.00 degrees
Space group F-43m (No. 216)
One atom of each set of equivalent atoms:
Lu1 0.0000 0.0000 0.0000 (multiplicity 4)
Zr1 0.0000 0.0000 0.5000 (multiplicity 4)
Al1 0.2500 0.2500 0.2500 (multiplicity 4)
Ni1 0.2500 0.2500 0.7500 (multiplicity 4)

=====

Crystalline LuNpAl2 at its relaxed geometry. Source: Alexandria, functional PBE.

Energy relative to the elements (eV/atom): -0.1139

Cell lengths 3.0893, 3.0893, 8.9205 Å; angles 90.00, 90.00, 90.00 degrees
Space group P4/mmm (No. 123)
One atom of each set of equivalent atoms:
Lu1 0.0000 0.0000 0.0000 (multiplicity 1)
Np1 0.0000 0.0000 0.5000 (multiplicity 1)
Al1 0.5000 0.5000 0.2462 (multiplicity 2)

=====

Crystalline LuNpPaAl at its relaxed geometry. Source: Alexandria, functional PBE.

Energy relative to the elements (eV/atom): 0.2161

Cell lengths 7.1761, 7.1761, 7.1761 Å; angles 90.00, 90.00, 90.00 degrees
Space group F-43m (No. 216)
One atom of each set of equivalent atoms:
Lu1 0.0000 0.0000 0.0000 (multiplicity 4)
Np1 0.2500 0.2500 0.2500 (multiplicity 4)
Pa1 0.0000 0.0000 0.5000 (multiplicity 4)
Al1 0.2500 0.2500 0.7500 (multiplicity 4)

=====

Crystalline Lu3AlO6 at its relaxed geometry. Source: Alexandria, functional PBE.

ΔE_f (raw) (eV per atom): -3.514

Cell lengths 8.6565, 10.8420, 5.2760 Å; angles 90.00, 90.00, 90.00 degrees
Space group Cmc2_1 (No. 36)
One atom of each set of equivalent atoms:
Lu1 0.0000 0.1018 0.0000 (multiplicity 4)
Lu2 0.1928 0.3945 0.9521 (multiplicity 8)
Al1 0.0000 0.3049 0.4181 (multiplicity 4)
O1 0.0000 0.2857 0.7525 (multiplicity 4)
O2 0.0000 0.4573 0.2868 (multiplicity 4)
O3 0.1559 0.2358 0.2476 (multiplicity 8)
O4 0.1608 0.0176 0.7253 (multiplicity 8)

=====

Crystalline LuAlO3 at its relaxed geometry. Source: Alexandria, functional PBE.

ΔE_f (raw) (eV per atom): -3.326

Cell lengths 3.3872, 3.3872, 11.4945 Å; angles 90.00, 90.00, 120.00 degrees
Space group P6_3/mmc (No. 194)
One atom of each set of equivalent atoms:
Lu1 0.0000 0.0000 0.0000 (multiplicity 2)
Al1 0.3333 0.6667 0.2500 (multiplicity 2)
O1 0.0000 0.0000 0.2500 (multiplicity 2)
O2 0.3333 0.6667 0.0900 (multiplicity 4)

=====

Crystalline LuAlO3 at its relaxed geometry. Source: Alexandria, functional PBE.

ΔE_f (raw) (eV per atom): -3.305

Cell lengths 5.2556, 5.2556, 12.6021 Å; angles 90.00, 90.00, 120.00 degrees
Space group R-3c (No. 167, hexagonal axes)
One atom of each set of equivalent atoms:
Lu1 0.0000 0.0000 0.2500 (multiplicity 6)
Al1 0.0000 0.0000 0.0000 (multiplicity 6)
O1 0.0000 0.4129 0.2500 (multiplicity 18)

=====

Crystalline LuAlO2 at its relaxed geometry. Source: Alexandria, functional PBE.

ΔE_f (raw) (eV per atom): -2.322

Cell lengths 3.0795, 3.0795, 18.7814 Å; angles 90.00, 90.00, 120.00 degrees
Space group R-3m (No. 166, hexagonal axes)
One atom of each set of equivalent atoms:
Lu1 0.0000 0.0000 0.0000 (multiplicity 3)
Al1 0.0000 0.0000 0.5000 (multiplicity 3)
O1 0.0000 0.0000 0.1169 (multiplicity 6)

=====

Crystalline LuAlO3 at its relaxed geometry. Source: Alexandria, functional PBE.

ΔE_f (raw) (eV per atom): -3.366

Cell lengths 5.3657, 7.3441, 5.1135 Å; angles 90.00, 90.00, 90.00 degrees
Space group Pnma (No. 62)
One atom of each set of equivalent atoms:
Lu1 0.0654 0.2500 0.0169 (multiplicity 4)
Al1 0.0000 0.0000 0.5000 (multiplicity 4)
O1 0.0324 0.7500 0.3978 (multiplicity 4)
O2 0.1989 0.5528 0.8023 (multiplicity 8)

=====

Crystalline Lu4Al2O9 at its relaxed geometry. Source: Alexandria, functional PBE.

ΔE_f (raw) (eV per atom): -3.459

Cell lengths 7.1733, 10.2633, 11.0612 Å; angles 90.00, 107.83, 90.00 degrees
Space group P2_1/c (No. 14)
One atom of each set of equivalent atoms:
Lu1 0.0862 0.1172 0.4132 (multiplicity 4)
Lu2 0.2343 0.6163 0.7171 (multiplicity 4)
Lu3 0.2736 0.1013 0.8012 (multiplicity 4)
Lu4 0.4063 0.6308 0.0571 (multiplicity 4)
Al1 0.0880 0.6729 0.3892 (multiplicity 4)
Al2 0.4516 0.1685 0.1234 (multiplicity 4)
O1 0.0297 0.5128 0.3364 (multiplicity 4)
O2 0.0374 0.2380 0.7469 (multiplicity 4)
O3 0.1161 0.7377 0.5419 (multiplicity 4)
O4 0.1882 0.0060 0.6067 (multiplicity 4)
O5 0.3142 0.2340 0.9771 (multiplicity 4)
O6 0.3206 0.7270 0.3856 (multiplicity 4)
O7 0.3328 0.0007 0.3907 (multiplicity 4)
O8 0.4345 0.0004 0.1416 (multiplicity 4)
O9 0.4767 0.2489 0.7688 (multiplicity 4)

=====

Crystalline LuAlO3 at its relaxed geometry. Source: Alexandria, functional PBE.

ΔE_f (raw) (eV per atom): -3.132

Cell lengths 3.6765, 3.6765, 3.6765 Å; angles 90.00, 90.00, 90.00 degrees
Space group Pm-3m (No. 221)
One atom of each set of equivalent atoms:
Lu1 0.0000 0.0000 0.0000 (multiplicity 1)
Al1 0.5000 0.5000 0.5000 (multiplicity 1)
O1 0.0000 0.5000 0.5000 (multiplicity 3)

=====

Crystalline Lu3Al5O12 at its relaxed geometry. Source: Alexandria, functional PBE.

ΔE_f (raw) (eV per atom): -3.307

Cell lengths 11.9625, 11.9625, 11.9625 Å; angles 90.00, 90.00, 90.00 degrees
Space group Ia-3d (No. 230)
One atom of each set of equivalent atoms:
Lu1 0.0000 0.2500 0.1250 (multiplicity 24)
Al1 0.0000 0.0000 0.0000 (multiplicity 16)
Al2 0.0000 0.2500 0.3750 (multiplicity 24)
O1 0.0289 0.0527 0.6499 (multiplicity 96)

=====

Crystalline Lu3AlO6 at its relaxed geometry. Source: Alexandria, functional PBE.

ΔE_f (raw) (eV per atom): -3.519

Cell lengths 9.0842, 9.0842, 10.4644 Å; angles 90.00, 90.00, 120.00 degrees
Space group R-3 (No. 148, hexagonal axes)
One atom of each set of equivalent atoms:
Lu1 0.0421 0.7743 0.2033 (multiplicity 18)
Al1 0.0000 0.0000 0.0000 (multiplicity 3)
Al2 0.0000 0.0000 0.5000 (multiplicity 3)
O1 0.0275 0.8449 0.8877 (multiplicity 18)
O2 0.0277 0.8285 0.4026 (multiplicity 18)